Record 1
A relaxed AcSiNi6B crystal, computed with PBE.

ΔE_f (raw)   -0.1173 eV per atom

Lattice parameters (Å, degrees): 7.589 6.717 7.310 117.35 121.27 90.00
Fractional positions:
Ac: 0.087 0.337 0.174
Ac: 0.913 0.663 0.826
Ni: 0.592 0.907 0.739
Ni: 0.202 0.952 0.405
Ni: 0.853 0.093 0.261
Ni: 0.147 0.332 0.739
Ni: 0.636 0.386 0.273
Ni: 0.592 0.332 0.739
Ni: 0.364 0.614 0.727
Ni: 0.853 0.668 0.261
Ni: 0.798 0.048 0.595
Ni: 0.408 0.668 0.261
Ni: 0.408 0.093 0.261
Ni: 0.147 0.907 0.739
B: 0.000 0.000 0.500
B: 0.500 0.000 0.500
Si: 0.500 0.000 0.000
Si: 0.500 0.500 0.000

=====

Record 2
A relaxed Pr6YAl2 crystal, computed with PBE.

Energy of formation from the pure elements   -0.14 eV per atom

Lattice parameters (Å, degrees): 3.813 6.811 11.865 75.64 80.75 73.75
Fractional positions:
Pr: 0.316 0.491 0.877
Pr: 0.028 0.269 0.675
Pr: 0.972 0.731 0.325
Pr: 0.690 0.213 0.407
Pr: 0.684 0.509 0.123
Pr: 0.310 0.787 0.593
Al: 0.353 0.102 0.192
Al: 0.647 0.898 0.808
Y: 0.000 0.000 0.000

=====

Record 3
A relaxed CaInMo2 crystal, computed with PBE.

Energy of formation from the pure elements   0.44 eV per atom

Lattice parameters (Å, degrees): 4.549 4.549 6.760 83.72 83.72 39.97
Fractional positions:
Mo: 0.735 0.735 0.823
Mo: 0.004 0.004 0.961
In: 0.259 0.259 0.198
Ca: 0.502 0.502 0.519

=====

> Which formula does entry 3 have?

CaInMo2